[1]
Compound: TlCoSe2
Source: Alexandria via LeMat-Bulk
Functional: GGA-PBE
Structure: relaxed

abc: 3.290 3.290 8.675
angles: 90.00 90.00 90.00
Space group P4mm (No. 99)
One atom of each set of equivalent atoms:
1 Tl 0.000 0.000 0.000
2 Co 0.500 0.500 0.489
3 Se 0.000 0.000 0.405
4 Se 0.500 0.500 0.750

Summary:
Fermi-level density of states, states/eV/f.u.: 3.13
Raw total energy, eV per atom: -4.118


[2]
Compound: YPuNp2S4
Source: Alexandria via LeMat-Bulk
Functional: GGA-PBE
Structure: relaxed

abc: 6.779 3.923 6.804
angles: 90.00 109.40 90.00
Space group P2/m (No. 10)
One atom of each set of equivalent atoms:
1 Y 0.000 0.000 0.000
2 Pu 0.000 0.500 0.500
3 Np 0.500 0.000 0.500
4 Np 0.500 0.500 0.000
5 S 0.252 0.500 0.251
6 S 0.253 0.000 0.750

Summary:
Fermi-level density of states, states/eV/f.u.: 20.40
Raw total energy, eV per atom: -9.533


[3]
Compound: Sr2YTc
Source: Alexandria via LeMat-Bulk
Functional: GGA-PBE
Structure: relaxed

abc: 3.642 4.771 7.137
angles: 90.00 90.00 90.00
Space group Pmmm (No. 47)
One atom of each set of equivalent atoms:
1 Sr 0.000 0.000 0.220
2 Y 0.500 0.500 0.500
3 Tc 0.500 0.500 0.000

Summary:
Fermi-level density of states, states/eV/f.u.: 4.51
Formation energy from the elements, eV per atom: 0.789